Entry from Alexandria: an optimized crystal structure of Ce4ThIn3 (PBE).

Calculated values
**DFT formation energy**: -192 meV/atom
**Total energy**: -40.9 eV per cell

The structure in CIF format:
```
data_Ce4ThIn3
_cell_length_a 4.139
_cell_length_b 4.139
_cell_length_c 13.276
_cell_angle_alpha 90.00
_cell_angle_beta 90.00
_cell_angle_gamma 90.00
_symmetry_space_group_name_H-M 'P 4/m m m'
_symmetry_Int_Tables_number 123
_symmetry_space_group_name_Hall '-P 4 2'
loop_
_atom_site_label
_atom_site_type_symbol
_atom_site_fract_x
_atom_site_fract_y
_atom_site_fract_z
Ce1 Ce 0.000 0.000 0.122
Ce2 Ce 0.000 0.000 0.357
Th1 Th 0.500 0.500 0.500
In1 In 0.500 0.500 0.000
In2 In 0.500 0.500 0.243
```



Entry from Alexandria: an optimized crystal structure of CeThIn2 (PBE).

Calculated values
**DFT formation energy**: -320 meV/atom
**Total energy**: -20.1 eV per cell

The structure in CIF format:
```
data_CeThIn2
_cell_length_a 4.892
_cell_length_b 4.892
_cell_length_c 4.661
_cell_angle_alpha 90.00
_cell_angle_beta 90.00
_cell_angle_gamma 90.00
_symmetry_space_group_name_H-M 'P 4/m m m'
_symmetry_Int_Tables_number 123
_symmetry_space_group_name_Hall '-P 4 2'
loop_
_atom_site_label
_atom_site_type_symbol
_atom_site_fract_x
_atom_site_fract_y
_atom_site_fract_z
Ce1 Ce 0.000 0.000 0.000
Th1 Th 0.500 0.500 0.000
In1 In 0.000 0.500 0.500
```



Entry from Alexandria: an optimized crystal structure of Ce2ThIn (PBE).

Calculated values
**DFT formation energy**: -2 meV/atom
**Total energy**: -88.1 eV per cell

The structure in CIF format:
```
data_Ce2ThIn
_cell_length_a 7.728
_cell_length_b 7.728
_cell_length_c 7.728
_cell_angle_alpha 90.00
_cell_angle_beta 90.00
_cell_angle_gamma 90.00
_symmetry_space_group_name_H-M 'F m -3 m'
_symmetry_Int_Tables_number 225
_symmetry_space_group_name_Hall '-F 4 2 3'
loop_
_atom_site_label
_atom_site_type_symbol
_atom_site_fract_x
_atom_site_fract_y
_atom_site_fract_z
Ce1 Ce 0.250 0.250 0.250
Th1 Th 0.000 0.000 0.000
In1 In 0.000 0.000 0.500
```